# 1
Computed, not measured: HfGaCuGe after structural relaxation at the PBE level of DFT.

calculated volume	16.51	A^3/atom
formation energy from the elements	-366	meV per atom
DFT total energy	-5.790	eV/atom
SG	P4/nmm
DOS(E_F)	2.1	states/eV/f.u.

```
data_HfGaCuGe
_cell_length_a 3.841
_cell_length_b 3.841
_cell_length_c 8.951
_cell_angle_alpha 90.00
_cell_angle_beta 90.00
_cell_angle_gamma 90.00
_symmetry_space_group_name_H-M 'P 1'
_symmetry_Int_Tables_number 1
loop_
_symmetry_equiv_pos_as_xyz
'x,y,z'
loop_
_atom_site_label
_atom_site_type_symbol
_atom_site_fract_x
_atom_site_fract_y
_atom_site_fract_z
Hf1 Hf 0.250 0.250 0.247
Hf2 Hf 0.750 0.750 0.753
Ga1 Ga 0.250 0.750 0.500
Ga2 Ga 0.750 0.250 0.500
Cu1 Cu 0.250 0.750 0.000
Cu2 Cu 0.750 0.250 0.000
Ge1 Ge 0.250 0.250 0.808
Ge2 Ge 0.750 0.750 0.192
```



# 2
Computed, not measured: GaCuGeIr2 after structural relaxation at the PBE level of DFT.

calculated volume	19.80	A^3/atom
formation energy from the elements	1052	meV per atom
DFT total energy	-4.840	eV/atom
SG	P4/mmm
DOS(E_F)	0.3	states/eV/f.u.

```
data_GaCuGeIr2
_cell_length_a 4.565
_cell_length_b 4.565
_cell_length_c 4.750
_cell_angle_alpha 90.00
_cell_angle_beta 90.00
_cell_angle_gamma 90.00
_symmetry_space_group_name_H-M 'P 1'
_symmetry_Int_Tables_number 1
loop_
_symmetry_equiv_pos_as_xyz
'x,y,z'
loop_
_atom_site_label
_atom_site_type_symbol
_atom_site_fract_x
_atom_site_fract_y
_atom_site_fract_z
Ga1 Ga 0.000 0.000 0.000
Cu1 Cu 0.500 0.500 0.000
Ge1 Ge 0.000 0.000 0.500
Ir1 Ir 0.000 0.500 0.500
Ir2 Ir 0.500 0.000 0.500
```



# 3
Computed, not measured: La2GaCu4Ge3 after structural relaxation at the PBE level of DFT.

calculated volume	18.44	A^3/atom
formation energy from the elements	-540	meV per atom
DFT total energy	-4.852	eV/atom
SG	P-4m2
DOS(E_F)	5.3	states/eV/f.u.

```
data_La2GaCu4Ge3
_cell_length_a 4.253
_cell_length_b 4.253
_cell_length_c 10.194
_cell_angle_alpha 90.00
_cell_angle_beta 90.00
_cell_angle_gamma 90.00
_symmetry_space_group_name_H-M 'P 1'
_symmetry_Int_Tables_number 1
loop_
_symmetry_equiv_pos_as_xyz
'x,y,z'
loop_
_atom_site_label
_atom_site_type_symbol
_atom_site_fract_x
_atom_site_fract_y
_atom_site_fract_z
La1 La 0.000 0.500 0.245
La2 La 0.500 0.000 0.755
Ga1 Ga 0.000 0.000 0.500
Cu1 Cu 0.000 0.000 0.000
Cu2 Cu 0.000 0.500 0.631
Cu3 Cu 0.500 0.000 0.369
Cu4 Cu 0.500 0.500 0.000
Ge1 Ge 0.000 0.500 0.871
Ge2 Ge 0.500 0.000 0.129
Ge3 Ge 0.500 0.500 0.500
```



# 4
Computed, not measured: La2Ga4Cu3Ge after structural relaxation at the PBE level of DFT.

calculated volume	19.09	A^3/atom
formation energy from the elements	-490	meV per atom
DFT total energy	-4.376	eV/atom
SG	P-4m2
DOS(E_F)	4.0	states/eV/f.u.

```
data_La2Ga4Cu3Ge
_cell_length_a 4.275
_cell_length_b 4.275
_cell_length_c 10.449
_cell_angle_alpha 90.00
_cell_angle_beta 90.00
_cell_angle_gamma 90.00
_symmetry_space_group_name_H-M 'P 1'
_symmetry_Int_Tables_number 1
loop_
_symmetry_equiv_pos_as_xyz
'x,y,z'
loop_
_atom_site_label
_atom_site_type_symbol
_atom_site_fract_x
_atom_site_fract_y
_atom_site_fract_z
La1 La 0.000 0.500 0.247
La2 La 0.500 0.000 0.753
Ga1 Ga 0.000 0.000 0.000
Ga2 Ga 0.000 0.500 0.641
Ga3 Ga 0.500 0.000 0.359
Ga4 Ga 0.500 0.500 0.000
Cu1 Cu 0.000 0.500 0.873
Cu2 Cu 0.500 0.000 0.127
Cu3 Cu 0.500 0.500 0.500
Ge1 Ge 0.000 0.000 0.500
```



# 5
Computed, not measured: LaGaCuGe2 after structural relaxation at the PBE level of DFT.

calculated volume	19.87	A^3/atom
formation energy from the elements	-451	meV per atom
DFT total energy	-4.708	eV/atom
SG	I-4m2
DOS(E_F)	1.8	states/eV/f.u.

```
data_LaGaCuGe2
_cell_length_a 4.161
_cell_length_b 4.161
_cell_length_c 11.478
_cell_angle_alpha 90.00
_cell_angle_beta 90.00
_cell_angle_gamma 90.00
_symmetry_space_group_name_H-M 'P 1'
_symmetry_Int_Tables_number 1
loop_
_symmetry_equiv_pos_as_xyz
'x,y,z'
loop_
_atom_site_label
_atom_site_type_symbol
_atom_site_fract_x
_atom_site_fract_y
_atom_site_fract_z
La1 La 0.000 0.000 0.000
La2 La 0.500 0.500 0.500
Ga1 Ga 0.000 0.500 0.250
Ga2 Ga 0.500 0.000 0.750
Cu1 Cu 0.000 0.500 0.750
Cu2 Cu 0.500 0.000 0.250
Ge1 Ge 0.000 0.000 0.383
Ge2 Ge 0.000 0.000 0.617
Ge3 Ge 0.500 0.500 0.117
Ge4 Ge 0.500 0.500 0.883
```



# 6
Computed, not measured: La2GaCu3Ge4 after structural relaxation at the PBE level of DFT.

calculated volume	19.01	A^3/atom
formation energy from the elements	-529	meV per atom
DFT total energy	-4.893	eV/atom
SG	P-4m2
DOS(E_F)	3.5	states/eV/f.u.

```
data_La2GaCu3Ge4
_cell_length_a 4.324
_cell_length_b 4.324
_cell_length_c 10.168
_cell_angle_alpha 90.00
_cell_angle_beta 90.00
_cell_angle_gamma 90.00
_symmetry_space_group_name_H-M 'P 1'
_symmetry_Int_Tables_number 1
loop_
_symmetry_equiv_pos_as_xyz
'x,y,z'
loop_
_atom_site_label
_atom_site_type_symbol
_atom_site_fract_x
_atom_site_fract_y
_atom_site_fract_z
La1 La 0.000 0.500 0.245
La2 La 0.500 0.000 0.755
Ga1 Ga 0.000 0.000 0.500
Cu1 Cu 0.000 0.500 0.877
Cu2 Cu 0.500 0.000 0.123
Cu3 Cu 0.500 0.500 0.500
Ge1 Ge 0.000 0.000 0.000
Ge2 Ge 0.000 0.500 0.640
Ge3 Ge 0.500 0.000 0.360
Ge4 Ge 0.500 0.500 0.000
```



# 7
Computed, not measured: Li2GaCu7Ge2 after structural relaxation at the PBE level of DFT.

calculated volume	13.44	A^3/atom
formation energy from the elements	-36	meV per atom
DFT total energy	-3.766	eV/atom
SG	C2/m
DOS(E_F)	4.3	states/eV/f.u.

```
data_Li2GaCu7Ge2
_cell_length_a 3.710
_cell_length_b 3.710
_cell_length_c 11.724
_cell_angle_alpha 90.13
_cell_angle_beta 90.13
_cell_angle_gamma 90.24
_symmetry_space_group_name_H-M 'P 1'
_symmetry_Int_Tables_number 1
loop_
_symmetry_equiv_pos_as_xyz
'x,y,z'
loop_
_atom_site_label
_atom_site_type_symbol
_atom_site_fract_x
_atom_site_fract_y
_atom_site_fract_z
Li1 Li 0.001 0.001 0.318
Li2 Li 0.999 0.999 0.682
Ga1 Ga 0.500 0.500 0.000
Cu1 Cu 0.000 0.000 0.000
Cu2 Cu 0.001 0.501 0.158
Cu3 Cu 0.265 0.265 0.500
Cu4 Cu 0.499 0.999 0.842
Cu5 Cu 0.501 0.001 0.158
Cu6 Cu 0.735 0.735 0.500
Cu7 Cu 0.999 0.499 0.842
Ge1 Ge 0.498 0.498 0.691
Ge2 Ge 0.502 0.502 0.309
```



# 8
Computed, not measured: Li2Ga2Cu7Ge after structural relaxation at the PBE level of DFT.

calculated volume	13.47	A^3/atom
formation energy from the elements	-27	meV per atom
DFT total energy	-3.625	eV/atom
SG	C2/m
DOS(E_F)	2.6	states/eV/f.u.

```
data_Li2Ga2Cu7Ge
_cell_length_a 3.675
_cell_length_b 3.675
_cell_length_c 11.975
_cell_angle_alpha 90.24
_cell_angle_beta 90.24
_cell_angle_gamma 89.32
_symmetry_space_group_name_H-M 'P 1'
_symmetry_Int_Tables_number 1
loop_
_symmetry_equiv_pos_as_xyz
'x,y,z'
loop_
_atom_site_label
_atom_site_type_symbol
_atom_site_fract_x
_atom_site_fract_y
_atom_site_fract_z
Li1 Li 0.000 0.000 0.179
Li2 Li 0.000 0.000 0.821
Ga1 Ga 0.499 0.499 0.188
Ga2 Ga 0.501 0.501 0.812
Cu1 Cu 0.000 0.000 0.500
Cu2 Cu 0.000 0.500 0.342
Cu3 Cu 0.000 0.500 0.658
Cu4 Cu 0.266 0.266 0.000
Cu5 Cu 0.500 0.000 0.342
Cu6 Cu 0.500 0.000 0.658
Cu7 Cu 0.734 0.734 0.000
Ge1 Ge 0.500 0.500 0.500
```



# 9
Computed, not measured: LiGaCuGe after structural relaxation at the PBE level of DFT.

calculated volume	15.00	A^3/atom
formation energy from the elements	-102	meV per atom
DFT total energy	-3.516	eV/atom
SG	F-43m
DOS(E_F)	1.2	states/eV/f.u.

```
data_LiGaCuGe
_cell_length_a 6.215
_cell_length_b 6.215
_cell_length_c 6.215
_cell_angle_alpha 90.00
_cell_angle_beta 90.00
_cell_angle_gamma 90.00
_symmetry_space_group_name_H-M 'P 1'
_symmetry_Int_Tables_number 1
loop_
_symmetry_equiv_pos_as_xyz
'x,y,z'
loop_
_atom_site_label
_atom_site_type_symbol
_atom_site_fract_x
_atom_site_fract_y
_atom_site_fract_z
Li1 Li 0.000 0.000 0.000
Li2 Li 0.000 0.500 0.500
Li3 Li 0.500 0.000 0.500
Li4 Li 0.500 0.500 0.000
Ga1 Ga 0.250 0.250 0.750
Ga2 Ga 0.250 0.750 0.250
Ga3 Ga 0.750 0.250 0.250
Ga4 Ga 0.750 0.750 0.750
Cu1 Cu 0.000 0.000 0.500
Cu2 Cu 0.000 0.500 0.000
Cu3 Cu 0.500 0.000 0.000
Cu4 Cu 0.500 0.500 0.500
Ge1 Ge 0.250 0.250 0.250
Ge2 Ge 0.250 0.750 0.750
Ge3 Ge 0.750 0.250 0.750
Ge4 Ge 0.750 0.750 0.250
```



# 10
Computed, not measured: NaGaCuGe2 after structural relaxation at the PBE level of DFT.

relative energy among the computed polymorphs	0.0	kJ/mol of atoms
calculated volume	19.08	A^3/atom
formation energy from the elements	-73	meV per atom
DFT total energy	-3.609	eV/atom
SG	I-4m2
DOS(E_F)	0.7	states/eV/f.u.

```
data_NaGaCuGe2
_cell_length_a 4.200
_cell_length_b 4.200
_cell_length_c 10.814
_cell_angle_alpha 90.00
_cell_angle_beta 90.00
_cell_angle_gamma 90.00
_symmetry_space_group_name_H-M 'P 1'
_symmetry_Int_Tables_number 1
loop_
_symmetry_equiv_pos_as_xyz
'x,y,z'
loop_
_atom_site_label
_atom_site_type_symbol
_atom_site_fract_x
_atom_site_fract_y
_atom_site_fract_z
Na1 Na 0.000 0.000 0.000
Na2 Na 0.500 0.500 0.500
Ga1 Ga 0.000 0.500 0.250
Ga2 Ga 0.500 0.000 0.750
Cu1 Cu 0.000 0.500 0.750
Cu2 Cu 0.500 0.000 0.250
Ge1 Ge 0.000 0.000 0.384
Ge2 Ge 0.000 0.000 0.616
Ge3 Ge 0.500 0.500 0.116
Ge4 Ge 0.500 0.500 0.884
```



# 11
Computed, not measured: Na2GaCu3Ge4 after structural relaxation at the PBE level of DFT.

calculated volume	18.18	A^3/atom
formation energy from the elements	-42	meV per atom
DFT total energy	-3.684	eV/atom
SG	P-4m2
DOS(E_F)	5.3	states/eV/f.u.

```
data_Na2GaCu3Ge4
_cell_length_a 4.083
_cell_length_b 4.083
_cell_length_c 10.904
_cell_angle_alpha 90.00
_cell_angle_beta 90.00
_cell_angle_gamma 90.00
_symmetry_space_group_name_H-M 'P 1'
_symmetry_Int_Tables_number 1
loop_
_symmetry_equiv_pos_as_xyz
'x,y,z'
loop_
_atom_site_label
_atom_site_type_symbol
_atom_site_fract_x
_atom_site_fract_y
_atom_site_fract_z
Na1 Na 0.000 0.500 0.247
Na2 Na 0.500 0.000 0.753
Ga1 Ga 0.000 0.000 0.500
Cu1 Cu 0.000 0.500 0.864
Cu2 Cu 0.500 0.000 0.136
Cu3 Cu 0.500 0.500 0.500
Ge1 Ge 0.000 0.000 0.000
Ge2 Ge 0.000 0.500 0.643
Ge3 Ge 0.500 0.000 0.357
Ge4 Ge 0.500 0.500 0.000
```



# 12
Computed, not measured: NaGaCuGe2 after structural relaxation at the PBE level of DFT.

relative energy among the computed polymorphs	34.2	kJ/mol of atoms
calculated volume	22.44	A^3/atom
formation energy from the elements	282	meV per atom
DFT total energy	-3.254	eV/atom
SG	P4/mmm
DOS(E_F)	2.3	states/eV/f.u.

```
data_NaGaCuGe2
_cell_length_a 4.661
_cell_length_b 4.661
_cell_length_c 5.165
_cell_angle_alpha 90.00
_cell_angle_beta 90.00
_cell_angle_gamma 90.00
_symmetry_space_group_name_H-M 'P 1'
_symmetry_Int_Tables_number 1
loop_
_symmetry_equiv_pos_as_xyz
'x,y,z'
loop_
_atom_site_label
_atom_site_type_symbol
_atom_site_fract_x
_atom_site_fract_y
_atom_site_fract_z
Na1 Na 0.000 0.000 0.000
Ga1 Ga 0.500 0.500 0.000
Cu1 Cu 0.000 0.000 0.500
Ge1 Ge 0.000 0.500 0.500
Ge2 Ge 0.500 0.000 0.500
```